## Si3Os (PBE)

Data for a geometry-optimized Si3Os structure.

```
4
Lattice="4.712 0.006 0.006 1.411 4.495 -0.006 -2.501 -3.013 2.620" Properties=species:S:1:pos:R:3 pbc="T T T"
Si 1.447 1.064 0.000
Si -0.545 0.741 1.307
Si 4.676 3.437 0.000
Os 1.105 -1.504 1.313
```

**Raw formation energy**: 281 meV/atom
**E_tot**: -6.594 eV per atom
**Density**: 8.22 g/cm³
**SG**: Immm, No. 71
**Total moment**: 0.00 μB per cell
**Crystal system**: orthorhombic

=====

## SiOs2 (PBE)

Data for a geometry-optimized SiOs2 structure.

```
3
Lattice="-1.348 -2.257 -0.899 2.553 0.559 -0.940 2.412 -3.275 4.602" Properties=species:S:1:pos:R:3 pbc="T T T"
Si 0.000 0.000 0.000
Os 0.725 -2.367 0.561
Os 2.892 -2.605 2.201
```

**Raw formation energy**: -67 meV/atom
**E_tot**: -9.361 eV per atom
**Density**: 16.53 g/cm³
**SG**: P-3m1, No. 164
**Total moment**: 0.00 μB per cell
**Crystal system**: trigonal

=====

## Si5Os3 (PBE)

Data for a geometry-optimized Si5Os3 structure.

```
8
Lattice="3.558 -3.654 0.000 3.558 3.654 0.000 0.000 0.000 4.086" Properties=species:S:1:pos:R:3 pbc="T T T"
Si 0.000 0.000 0.000
Si 1.779 -1.827 0.000
Si 3.558 1.498 2.043
Si 3.558 -1.498 2.043
Si 1.779 1.827 0.000
Os 5.721 0.000 2.043
Os 3.558 0.000 0.000
Os 1.395 0.000 2.043
```

**Raw formation energy**: -6 meV/atom
**E_tot**: -7.607 eV per atom
**Density**: 11.12 g/cm³
**SG**: Cmmm, No. 65
**Total moment**: 0.00 μB per cell
**Crystal system**: orthorhombic
**Polymorph energy (0 for the lowest one)**: 137 meV per atom

=====

## SiOs2 (PBE)

Data for a geometry-optimized SiOs2 structure.

```
6
Lattice="1.401 4.848 -0.014 -1.401 4.848 -0.014 0.000 0.663 6.116" Properties=species:S:1:pos:R:3 pbc="T T T"
Os 0.000 10.048 5.938
Os 0.000 6.049 1.652
Os 0.000 7.193 4.127
Os 0.000 3.466 2.089
Si 0.000 9.914 3.508
Si 0.000 3.044 6.021
```

**Raw formation energy**: -87 meV/atom
**E_tot**: -9.382 eV per atom
**Density**: 16.32 g/cm³
**SG**: Cm, No. 8
**Total moment**: 0.00 μB per cell
**Crystal system**: monoclinic

=====

## SiOs3 (PBE)

Data for a geometry-optimized SiOs3 structure.

```
4
Lattice="4.689 -0.003 0.010 3.865 2.654 0.010 0.465 0.144 4.515" Properties=species:S:1:pos:R:3 pbc="T T T"
Os 2.163 0.670 1.144
Os 6.856 2.125 3.392
Os 4.509 1.397 2.268
Si 0.000 0.000 0.000
```

**Raw formation energy**: 135 meV/atom
**E_tot**: -9.643 eV per atom
**Density**: 17.69 g/cm³
**SG**: C2/m, No. 12
**Total moment**: 0.00 μB per cell
**Crystal system**: monoclinic

=====

## SiOs2 (PBE)

Data for a geometry-optimized SiOs2 structure.

```
6
Lattice="-2.225 -1.379 1.232 1.812 -1.239 1.885 -1.236 7.396 6.049" Properties=species:S:1:pos:R:3 pbc="T T T"
Si -0.207 -1.309 1.558
Si -0.618 3.698 3.025
Os -0.638 1.272 3.669
Os -0.187 1.117 0.913
Os -1.050 6.279 5.136
Os -1.012 3.505 5.496
```

**Raw formation energy**: -83 meV/atom
**E_tot**: -9.377 eV per atom
**Density**: 16.83 g/cm³
**SG**: I4/mmm, No. 139
**Total moment**: 0.00 μB per cell
**Crystal system**: tetragonal

=====

## SiOs5 (PBE)

Data for a geometry-optimized SiOs5 structure.

```
6
Lattice="3.798 3.788 3.029 -5.105 -0.221 -3.441 -2.104 -0.407 3.148" Properties=species:S:1:pos:R:3 pbc="T T T"
Os 2.247 3.089 1.902
Os -3.205 0.905 0.278
Os -3.554 0.478 -2.314
Os -1.052 -0.204 1.574
Os -0.206 2.255 2.458
Si -0.653 1.784 -0.206
```

**Raw formation energy**: 171 meV/atom
**E_tot**: -10.091 eV per atom
**Density**: 19.08 g/cm³
**SG**: Cmmm, No. 65
**Total moment**: 0.00 μB per cell
**Crystal system**: orthorhombic
**Polymorph energy (0 for the lowest one)**: 130 meV per atom

=====

## SiOs2 (PBE)

Data for a geometry-optimized SiOs2 structure.

```
6
Lattice="-2.884 2.884 2.455 2.884 -2.884 2.455 2.884 2.884 -2.455" Properties=species:S:1:pos:R:3 pbc="T T T"
Si 0.000 0.000 3.682
Si 0.000 0.000 1.227
Os 1.962 0.922 0.000
Os 0.922 3.807 0.000
Os 0.922 1.962 2.455
Os 1.962 -0.922 2.455
```

**Raw formation energy**: 106 meV/atom
**E_tot**: -9.188 eV per atom
**Density**: 16.61 g/cm³
**SG**: I4/mcm, No. 140
**Total moment**: 0.00 μB per cell
**Crystal system**: tetragonal

=====

## Si4Os3 (PBE)

Data for a geometry-optimized Si4Os3 structure.

```
7
Lattice="-5.215 1.106 0.208 1.636 -4.915 -1.277 -0.067 -1.073 4.046" Properties=species:S:1:pos:R:3 pbc="T T T"
Si -2.965 -1.438 1.736
Si -0.681 -3.445 1.241
Si -0.050 -0.810 3.055
Si -0.016 -0.263 0.991
Os 0.818 -2.458 -0.639
Os -2.608 0.553 0.104
Os -1.790 -1.905 -0.535
```

**Raw formation energy**: 470 meV/atom
**E_tot**: -7.442 eV per atom
**Density**: 10.99 g/cm³
**SG**: P6/mmm, No. 191
**Total moment**: 0.31 μB per cell
**Crystal system**: hexagonal
**Polymorph energy (0 for the lowest one)**: 612 meV per atom

=====

## SmSi2Os (PBE)

Data for a geometry-optimized SmSi2Os structure.

```
4
Lattice="-1.778 -4.090 -1.571 2.903 -3.435 -1.459 0.481 -3.827 2.306" Properties=species:S:1:pos:R:3 pbc="T T T"
Si 0.405 -2.884 -0.066
Si 1.201 -8.468 -0.658
Sm 0.803 -5.676 -0.362
Os 0.000 0.000 0.000
```

**Raw formation energy**: -110 meV/atom
**E_tot**: -6.809 eV per atom
**Density**: 9.53 g/cm³
**SG**: R-3m, No. 166
**Total moment**: 0.00 μB per cell
**Crystal system**: trigonal

=====

## SmSi3Os (PBE)

Data for a geometry-optimized SmSi3Os structure.

```
5
Lattice="5.810 0.008 0.000 2.732 5.128 0.000 -4.271 -2.568 2.987" Properties=species:S:1:pos:R:3 pbc="T T T"
Os 5.589 3.360 0.000
Si 1.466 2.624 1.493
Si 3.005 0.064 1.493
Si 3.583 2.154 0.000
Sm 8.513 5.118 0.000
```

**Raw formation energy**: -624 meV/atom
**E_tot**: -7.067 eV per atom
**Density**: 7.93 g/cm³
**SG**: I4mm, No. 107
**Total moment**: 0.00 μB per cell
**Crystal system**: tetragonal
**Polymorph energy (0 for the lowest one)**: 0 meV per atom

=====

## SmSi3Os (PBE)

Data for a geometry-optimized SmSi3Os structure.

```
10
Lattice="-0.969 3.564 4.460 -2.177 -5.365 0.105 5.054 -1.998 2.695" Properties=species:S:1:pos:R:3 pbc="T T T"
Sm 1.908 -4.689 3.186
Sm 0.000 0.891 4.073
Si -0.479 -2.657 2.343
Si 2.660 -3.368 6.168
Si 2.387 -1.142 4.916
Si 0.133 -2.369 4.821
Si -0.752 -0.431 1.091
Si 1.775 -1.430 2.439
Os -0.765 -4.769 1.313
Os 2.673 0.970 5.946
```

**Raw formation energy**: -552 meV/atom
**E_tot**: -6.996 eV per atom
**Density**: 7.98 g/cm³
**SG**: Cmcm, No. 63
**Total moment**: 0.00 μB per cell
**Crystal system**: orthorhombic
**Polymorph energy (0 for the lowest one)**: 71 meV per atom

=====

## SmSi2Os (PBE)

Data for a geometry-optimized SmSi2Os structure.

```
16
Lattice="-0.582 -2.181 -3.447 2.457 -5.762 3.231 -9.286 -2.273 3.007" Properties=species:S:1:pos:R:3 pbc="T T T"
Si -3.530 -6.511 3.485
Si 0.213 -5.853 2.436
Si -5.202 -6.952 1.584
Si 0.540 -5.804 -0.113
Si -3.882 -3.705 -0.694
Si -7.625 -4.363 0.355
Si -2.210 -3.264 1.208
Si -7.952 -4.412 2.904
Os -3.686 -8.696 2.432
Os -3.726 -1.520 0.360
Os 0.096 -3.766 1.135
Os -7.508 -6.450 1.656
Sm -6.194 -7.421 4.511
Sm -1.218 -2.795 -1.720
Sm -5.089 -3.969 2.140
Sm -2.323 -6.247 0.652
```

**Raw formation energy**: -700 meV/atom
**E_tot**: -7.399 eV per atom
**Density**: 9.05 g/cm³
**SG**: Pnma, No. 62
**Total moment**: 0.00 μB per cell
**Crystal system**: orthorhombic

=====

## Sm2Si5Os3 (PBE)

Data for a geometry-optimized Sm2Si5Os3 structure.

```
20
Lattice="-0.275 3.518 4.512 5.020 -2.678 6.039 4.418 6.873 -1.446" Properties=species:S:1:pos:R:3 pbc="T T T"
Os 5.468 4.290 7.913
Os 3.733 2.394 5.633
Os 5.430 5.319 3.472
Os 4.951 -1.798 7.166
Os 4.212 9.510 1.938
Os 3.695 3.423 1.192
Si 4.513 4.733 5.683
Si 4.825 0.203 5.598
Si 4.476 5.747 1.254
Si 4.338 7.510 3.506
Si 1.396 2.708 5.249
Si 4.650 2.980 3.422
Si 7.746 4.918 7.558
Si 4.688 1.966 7.851
Si 1.417 2.795 1.546
Si 7.767 5.005 3.856
Sm 2.241 4.982 3.526
Sm 6.922 2.731 5.579
Sm 2.540 0.655 3.282
Sm 6.623 7.058 5.822
```

**Raw formation energy**: -707 meV/atom
**E_tot**: -7.731 eV per atom
**Density**: 9.92 g/cm³
**SG**: C2/c, No. 15
**Total moment**: 0.00 μB per cell
**Crystal system**: monoclinic

=====

## Sm3Si2Os (PBE)

Data for a geometry-optimized Sm3Si2Os structure.

```
24
Lattice="-3.842 1.681 0.472 -4.746 -9.704 -4.065 -0.545 -4.319 10.948" Properties=species:S:1:pos:R:3 pbc="T T T"
Os -3.023 -5.809 5.516
Os -1.682 -1.465 0.957
Os -6.110 -6.533 1.839
Os -7.451 -10.878 6.398
Sm -3.269 -5.516 2.473
Sm -3.992 -1.938 2.709
Sm -4.732 -5.054 7.783
Sm -5.141 -10.404 4.646
Sm -7.291 -9.165 1.596
Sm -5.864 -6.826 4.882
Sm -2.791 -3.515 -0.761
Sm -6.343 -8.827 8.116
Sm -1.712 -3.934 9.515
Sm -1.842 -3.177 5.759
Sm -4.401 -7.288 -0.428
Sm -7.422 -8.409 -2.160
Si -5.353 -11.678 7.456
Si -3.718 -7.790 6.919
Si -1.179 -0.996 3.386
Si -7.954 -11.347 3.969
Si -3.780 -0.664 -0.101
Si -4.474 -8.279 2.501
Si -4.659 -4.064 4.854
Si -5.415 -4.552 0.436
```

**Raw formation energy**: -581 meV/atom
**E_tot**: -6.620 eV per atom
**Density**: 8.07 g/cm³
**SG**: Pnma, No. 62
**Total moment**: 0.00 μB per cell
**Crystal system**: orthorhombic

=====

## Sm2Si4Os3 (PBE)

Data for a geometry-optimized Sm2Si4Os3 structure.

```
18
Lattice="0.432 -4.661 -3.482 -3.856 -3.759 4.553 -6.381 4.390 -1.781" Properties=species:S:1:pos:R:3 pbc="T T T"
Si -1.612 -1.852 -0.164
Si -3.814 -1.076 -3.920
Si -8.409 0.153 1.195
Si -5.991 -2.954 3.210
Si -5.818 -0.488 -0.069
Si -8.193 -2.178 -0.546
Si -1.396 -4.183 -1.906
Si -3.987 -3.542 -0.642
Os -3.433 -3.502 -3.069
Os -6.372 -0.528 2.359
Os 0.000 0.000 0.000
Os -6.156 -2.858 0.618
Os -1.712 -4.210 0.535
Os -3.649 -1.172 -1.328
Sm -5.164 1.259 -2.325
Sm -3.642 -1.774 1.922
Sm -6.163 -2.256 -2.632
Sm -4.641 -5.288 1.615
```

**Raw formation energy**: -577 meV/atom
**E_tot**: -7.779 eV per atom
**Density**: 10.74 g/cm³
**SG**: Cmce, No. 64
**Total moment**: 0.00 μB per cell
**Crystal system**: orthorhombic

=====

## SmSi4Os2 (PBE)

Data for a geometry-optimized SmSi4Os2 structure.

```
28
Lattice="-0.934 -3.990 0.084 5.383 -1.182 3.754 -8.926 2.374 13.548" Properties=species:S:1:pos:R:3 pbc="T T T"
Os -0.557 -0.802 5.758
Os -1.051 -0.591 10.288
Os -3.427 -2.207 7.097
Os 3.336 -1.761 3.461
Os -7.815 -1.036 13.924
Os -7.066 0.835 11.105
Os 2.588 -3.633 6.280
Os -3.921 -1.996 11.627
Si 0.065 -3.034 6.624
Si -6.317 -1.429 11.947
Si -4.181 0.084 7.524
Si -8.605 1.233 12.926
Si 1.839 -1.369 5.438
Si 4.127 -4.031 4.459
Si -2.197 -2.540 4.934
Si -2.847 -2.293 9.482
Si -6.086 -1.404 15.710
Si -4.543 0.237 10.761
Si -0.297 -2.882 9.861
Si 1.608 -1.394 1.676
Si -1.181 -0.709 3.220
Si -1.631 -0.505 7.903
Si -3.297 -2.089 14.166
Si -2.281 -0.257 12.451
Sm -6.031 -1.557 9.031
Sm -4.809 0.363 13.804
Sm 1.553 -1.241 8.354
Sm 0.331 -3.161 3.581
```

**Raw formation energy**: -533 meV/atom
**E_tot**: -7.514 eV per atom
**Density**: 9.53 g/cm³
**SG**: Pnma, No. 62
**Total moment**: 0.00 μB per cell
**Crystal system**: orthorhombic

=====

## SmSi2Os4 (PBE)

Data for a geometry-optimized SmSi2Os4 structure.

```
7
Lattice="3.983 0.000 0.000 0.000 3.999 0.000 0.000 -1.999 7.096" Properties=species:S:1:pos:R:3 pbc="T T T"
Sm 0.000 0.000 0.000
Os 1.992 1.999 4.442
Os 1.992 0.000 2.655
Os 0.000 0.000 4.402
Os 0.000 1.999 2.694
Si 1.992 1.999 1.206
Si 1.992 0.000 5.890
```

**Raw formation energy**: -491 meV/atom
**E_tot**: -9.131 eV per atom
**Density**: 14.21 g/cm³
**SG**: Cmmm, No. 65
**Total moment**: 0.00 μB per cell
**Crystal system**: orthorhombic

=====

## SmTaSi2Os (PBE)

Data for a geometry-optimized SmTaSi2Os structure.

```
5
Lattice="-0.208 -2.216 -3.371 3.136 -2.212 1.261 -4.941 -1.284 3.568" Properties=species:S:1:pos:R:3 pbc="T T T"
Os -1.842 -2.857 -0.429
Si 0.700 -2.983 -0.503
Si -2.712 -2.728 1.960
Ta -0.170 -2.855 1.887
Sm 0.000 0.000 0.000
```

**Raw formation energy**: -607 meV/atom
**E_tot**: -8.336 eV per atom
**Density**: 10.62 g/cm³
**SG**: I-4m2, No. 119
**Total moment**: 0.00 μB per cell
**Crystal system**: tetragonal

=====

## SmSi3TcOs (PBE)

Data for a geometry-optimized SmSi3TcOs structure.

```
12
Lattice="-5.445 0.668 -0.879 -0.120 -6.448 -4.155 -1.031 0.313 6.627" Properties=species:S:1:pos:R:3 pbc="T T T"
Sm -1.958 -4.489 -0.061
Sm -4.638 -0.979 1.653
Os -2.353 -2.478 3.914
Os -4.243 -2.989 -2.321
Si -2.752 -1.269 -1.472
Si -0.030 -1.603 -1.033
Si -1.912 -1.303 2.077
Si -2.812 -4.512 -3.562
Si -4.684 -4.165 -0.484
Si -0.090 -4.846 -3.122
Tc -1.473 -0.131 0.246
Tc -5.123 -5.337 1.347
```

**Raw formation energy**: -341 meV/atom
**E_tot**: -7.438 eV per atom
**Density**: 7.39 g/cm³
**SG**: Cmcm, No. 63
**Total moment**: 0.00 μB per cell
**Crystal system**: orthorhombic